Entry from OQMD: crystalline AcAgPb at its relaxed geometry (PBE).

- Density: 9.371 g cm⁻³
- Symmetry: F-43m, No. 216
- VASP energy: -3.97 eV per atom
- Size of the total moment: 0.0 μB/cell

Cell: 5.1405 5.1405 5.1405 Å, 60.00 60.00 60.00°
Positions (direct):
Ac: 0.5000 0.5000 0.5000
Ag: 0.7500 0.7500 0.7500
Pb: 0.0000 0.0000 0.0000